# LiInAgRh (PBE, optimized geometry)
# E_tot = -15.93 eV per formula unit
# size of the total moment = 0.0 μB/cell
# DFT formation energy = -269 meV/atom
data_LiInAgRh
_chemical_formula_sum 'Li2 In2 Ag2 Rh2'
_cell_length_a 4.232
_cell_length_b 4.232
_cell_length_c 7.294
_cell_angle_alpha 90.00
_cell_angle_beta 90.00
_cell_angle_gamma 90.00
_symmetry_space_group_name_H-M 'I -4 m 2'
_symmetry_Int_Tables_number 119
_symmetry_space_group_name_Hall 'I -4 -2'
loop_
_atom_site_label
_atom_site_fract_x
_atom_site_fract_y
_atom_site_fract_z
Li1 0.000 0.000 0.000
In1 0.000 0.000 0.500
Ag1 0.000 0.500 0.250
Rh1 0.000 0.500 0.750